(1)
Nb5Mo2W4 | Alexandria via LeMat-Bulk | GGA-PBE | optimized geometry; SG = P-1, No. 2; M_tot = 0.000 μB per atom; energy of formation from the pure elements = 0.071 eV/atom; calculated volume = 188 Å³/cell; calculated density = 12.27 g/cm3
1.0
2.749 0.000 0.000
-1.364 7.141 0.000
-1.194 -0.314 9.595
Nb Mo W
5 2 4
Cartesian
0.000 0.000 0.000
-0.518 1.731 7.826
0.769 0.594 2.671
-0.578 6.233 6.924
0.710 5.096 1.769
-0.005 1.151 5.203
0.197 5.675 4.392
-0.771 3.130 3.553
-1.464 4.237 8.744
1.656 2.589 0.852
0.963 3.697 6.043

=====

(2)
Nb2Mo4W3 | Alexandria via LeMat-Bulk | GGA-PBE | optimized geometry; SG = P-3m1, No. 164; M_tot = 0.000 μB per atom; energy of formation from the pure elements = -0.104 eV/atom; calculated volume = 147 Å³/cell; calculated density = 12.64 g/cm3; polymorph energy (0 for the lowest one) = 0 meV per atom
1.0
4.519 0.000 0.000
-2.260 3.914 0.000
0.000 0.000 8.328
Nb Mo W
2 4 3
Cartesian
0.000 2.609 2.320
2.260 1.305 6.007
0.000 0.000 1.363
0.000 0.000 6.965
0.000 2.609 5.093
2.260 1.305 3.235
0.000 0.000 4.164
0.000 2.609 7.843
2.260 1.305 0.485

=====

(3)
Nb5MoW4 | Alexandria via LeMat-Bulk | GGA-PBE | optimized geometry; SG = I4, No. 79; M_tot = 0.000 μB per atom; energy of formation from the pure elements = 0.681 eV/atom; calculated volume = 183 Å³/cell; calculated density = 11.74 g/cm3; polymorph energy (0 for the lowest one) = 745 meV per atom
1.0
-4.276 4.276 2.507
4.276 -4.276 2.507
4.276 4.276 -2.507
Nb Mo W
5 1 4
Cartesian
0.000 0.000 0.000
2.862 2.365 0.895
1.911 -1.413 3.403
2.365 5.689 0.895
1.413 1.911 3.403
0.000 0.000 2.390
2.973 -0.186 0.884
5.579 0.186 0.884
0.186 2.973 0.884
-0.186 5.579 0.884

=====

(4)
NbMoW4 | Alexandria via LeMat-Bulk | GGA-PBE | optimized geometry; SG = C2/m, No. 12; M_tot = 0.000 μB per atom; energy of formation from the pure elements = -0.057 eV/atom; calculated volume = 98 Å³/cell; calculated density = 15.61 g/cm3
1.0
4.798 -2.268 0.000
4.798 2.268 0.000
-3.183 0.000 4.519
Nb Mo W
1 1 4
Cartesian
0.000 0.000 0.000
-1.591 0.000 2.259
1.065 0.000 3.003
2.682 0.000 0.760
3.731 0.000 3.759
5.348 0.000 1.516

=====

(5)
Nb6MoW | Alexandria via LeMat-Bulk | GGA-PBE | optimized geometry; SG = R-3m, No. 166; M_tot = 0.000 μB per atom; energy of formation from the pure elements = 0.187 eV/atom; calculated volume = 145 Å³/cell; calculated density = 9.62 g/cm3; polymorph energy (0 for the lowest one) = 225 meV per atom
1.0
4.782 2.761 1.825
-4.782 2.761 1.825
0.000 -5.521 1.825
Nb Mo W
6 1 1
Cartesian
0.000 -2.760 2.280
-2.390 1.380 2.280
-2.390 -1.380 3.196
2.390 1.380 2.280
2.390 -1.380 3.196
0.000 2.760 3.196
0.000 0.000 2.738
0.000 0.000 0.000

=====

(6)
Nb3Mo4W2 | Alexandria via LeMat-Bulk | GGA-PBE | optimized geometry; SG = C2/c, No. 15; M_tot = 0.000 μB per atom; energy of formation from the pure elements = 0.604 eV/atom; calculated volume = 327 Å³/cell; calculated density = 10.47 g/cm3; polymorph energy (0 for the lowest one) = 715 meV per atom
1.0
6.359 -4.902 0.000
6.359 4.902 0.000
-1.303 0.000 5.239
Nb Mo W
6 8 4
Cartesian
5.382 4.056 3.930
4.561 1.306 1.769
7.505 1.306 0.851
3.909 -1.306 4.389
6.854 -1.306 3.470
6.033 -4.056 1.310
1.784 1.258 2.991
3.985 1.414 4.424
2.435 -1.258 0.371
6.778 1.414 3.435
4.637 -1.414 1.804
8.979 1.258 4.869
7.429 -1.414 0.815
9.631 -1.258 2.249
2.233 1.342 0.245
1.582 -1.342 2.865
9.833 1.342 2.375
9.181 -1.342 4.994

=====

(7)
Nb5MoW | Alexandria via LeMat-Bulk | GGA-PBE | optimized geometry; SG = C2/c, No. 15; M_tot = 0.000 μB per atom; energy of formation from the pure elements = 0.356 eV/atom; calculated volume = 257 Å³/cell; calculated density = 9.60 g/cm3
1.0
3.427 -4.478 0.000
3.427 4.478 0.000
-2.692 0.000 8.386
Nb Mo W
10 2 2
Cartesian
-0.874 1.491 6.989
1.408 3.148 6.289
1.385 1.370 4.029
0.472 -1.491 2.796
4.123 1.370 0.164
0.039 -1.370 8.221
3.690 1.491 5.589
2.777 -1.370 4.357
2.754 -3.148 2.096
5.036 -1.491 1.397
0.000 0.000 0.000
-1.346 0.000 4.193
2.754 0.301 2.096
1.408 -0.301 6.289

=====

(8)
Nb4Mo5W2 | Alexandria via LeMat-Bulk | GGA-PBE | optimized geometry; SG = C2/m, No. 12; M_tot = 0.000 μB per atom; energy of formation from the pure elements = 0.364 eV/atom; calculated volume = 189 Å³/cell; calculated density = 10.70 g/cm3; polymorph energy (0 for the lowest one) = 0 meV per atom
1.0
9.801 -1.322 0.000
9.801 1.322 0.000
-0.088 0.000 7.302
Nb Mo W
4 5 2
Cartesian
0.843 0.000 2.619
5.307 0.000 1.325
14.208 0.000 5.977
18.672 0.000 4.684
2.630 0.000 0.563
3.524 0.000 3.400
9.801 0.000 0.000
15.991 0.000 3.902
16.885 0.000 6.739
8.013 0.000 2.026
11.502 0.000 5.276